[1]
# Ce4SnPSe2

Crystalline Ce4SnPSe2 at its relaxed geometry (GGA-PBE, Alexandria).

Output
The value obtained for the formation energy from raw total energies is -1.39 eV per atom. The size of the total moment comes out at 3.3 μB per cell. As for the crystal system: monoclinic.

Cell: 4.2543 7.3462 7.4295 Å, 70.57 90.00 90.00°
Last column: magnetic moment on the atom in μB.
Fractional positions:
1 P 0.0000 0.5000 0.5000  -0.03
2 Ce 0.5000 0.2562 0.7340  0.77
3 Ce 0.0000 0.2445 0.2663  0.67
4 Ce 0.0000 0.7555 0.7337  0.67
5 Ce 0.5000 0.7438 0.2660  0.77
6 Sn 0.5000 0.5000 0.0000  -0.03
7 Se 0.0000 0.0000 0.0000  -0.02
8 Se 0.5000 0.0000 0.5000  -0.02

---

[2]
# Ta2P

Crystalline Ta2P at its relaxed geometry (GGA-PBE, Alexandria).

Output
As for the formation enthalpy at 0 K: -0.5497 eV/atom. The size of the total moment comes out at 0.0 μB per cell. As for the crystal system: orthorhombic.

Cell: 3.3546 3.2957 18.3592 Å, 90.00 90.00 90.00°
Fractional positions:
1 Ta 0.5000 0.0000 0.6041
2 Ta 0.5000 0.0000 0.0133
3 Ta 0.0000 0.5000 0.9192
4 P 0.5000 0.5000 0.7096
5 Ta 0.5000 0.0000 0.4192
6 Ta 0.0000 0.5000 0.1041
7 P 0.0000 0.0000 0.2096
8 Ta 0.0000 0.5000 0.5133
9 Ta 0.0000 0.0000 0.7655
10 P 0.0000 0.5000 0.3669
11 P 0.5000 0.0000 0.8669
12 Ta 0.5000 0.5000 0.2655

---

[3]
# YTaIr

Crystalline YTaIr at its relaxed geometry (GGA-PBE, Alexandria).

Output
The calculation puts the energy relative to the lowest polymorph listed for this composition at 95 meV per atom. As for the formation enthalpy at 0 K: -0.4828 eV/atom. The size of the total moment comes out at 0.0 μB per cell. As for the crystal system: orthorhombic.

Cell: 3.4810 11.9094 6.2601 Å, 90.00 90.00 90.00°
Fractional positions:
1 Y 0.5000 0.1979 0.7500
2 Ta 0.0000 0.0000 0.0000
3 Ir 0.5000 0.9011 0.7500
4 Y 0.0000 0.6979 0.7500
5 Ir 0.0000 0.5989 0.2500
6 Ta 0.5000 0.5000 0.5000
7 Ta 0.0000 0.0000 0.5000
8 Ir 0.0000 0.4011 0.7500
9 Y 0.5000 0.8021 0.2500
10 Ta 0.5000 0.5000 0.0000
11 Ir 0.5000 0.0989 0.2500
12 Y 0.0000 0.3021 0.2500

---

[4]
# Y5Er5Tm

Crystalline Y5Er5Tm at its relaxed geometry (GGA-PBE, Alexandria).

Output
The calculation puts the energy relative to the lowest polymorph listed for this composition at 0 meV per atom. As for the formation enthalpy at 0 K: 0.1546 eV/atom. The size of the total moment comes out at 0.0 μB per cell. As for the crystal system: triclinic.

Cell: 6.8212 9.4434 7.8437 Å, 114.52 54.90 119.23°
Fractional positions:
1 Y 0.1552 0.3629 0.8541
2 Er 0.3510 0.7273 0.6487
3 Y 0.2340 0.3648 0.3149
4 Er 0.6488 0.2724 0.7723
5 Tm 0.0000 0.0000 0.0000
6 Y 0.7660 0.6352 0.6851
7 Y 0.5000 0.0000 0.0000
8 Y 0.8448 0.6371 0.1459
9 Er 0.6490 0.2727 0.3513
10 Er 0.3512 0.7276 0.2277
11 Er 0.0000 0.0000 0.5000

---

[5]
# RbHg2AsIr

Crystalline RbHg2AsIr at its relaxed geometry (GGA-PBE, Alexandria).

Output
As for the formation enthalpy at 0 K: -0.0774 eV/atom. The size of the total moment comes out at 0.3 μB per cell. As for the crystal system: tetragonal.

Cell: 5.4429 5.4429 4.7780 Å, 90.00 90.00 90.00°
Last column: magnetic moment on the atom in μB.
Fractional positions:
1 Hg 0.5000 0.0000 0.0000  0.01
2 Ir 0.0000 0.0000 0.0000  0.10
3 Hg 0.0000 0.5000 0.0000  0.01
4 As 0.0000 0.0000 0.5000  0.08
5 Rb 0.5000 0.5000 0.5000  0.00

---

[6]
# Ba5Ca4Mg

Crystalline Ba5Ca4Mg at its relaxed geometry (GGA-PBE, Alexandria).

Output
As for the formation enthalpy at 0 K: 0.0181 eV/atom. The size of the total moment comes out at 0.0 μB per cell. As for the crystal system: tetragonal.

Cell: 4.5476 4.5476 24.3702 Å, 90.00 90.00 90.00°
Fractional positions:
1 Ca 0.0000 0.0000 0.1902
2 Ca 0.0000 0.0000 0.6033
3 Ca 0.0000 0.0000 0.8098
4 Ca 0.0000 0.0000 0.3967
5 Ba 0.5000 0.5000 0.7064
6 Ba 0.5000 0.5000 0.5000
7 Ba 0.5000 0.5000 0.2936
8 Mg 0.0000 0.0000 0.0000
9 Ba 0.5000 0.5000 0.0840
10 Ba 0.5000 0.5000 0.9160

---

[7]
# CsK2ZnH

Crystalline CsK2ZnH at its relaxed geometry (GGA-PBE, Alexandria).

Output
For the final energy, the calculation gives -0.1072 Ry/atom. The size of the total moment comes out at 0.6 μB per cell. As for the crystal system: tetragonal.

Cell: 5.5604 5.5604 6.2963 Å, 90.00 90.00 90.00°
Fractional positions:
1 Cs 0.0000 0.0000 0.5000
2 K 0.0000 0.5000 0.0000
3 H 0.0000 0.0000 0.0000
4 Zn 0.5000 0.5000 0.5000
5 K 0.5000 0.0000 0.0000